KHg3Te4Pd | PBE-GGA | relaxed

a = 7.0350 Å, b = 7.0350 Å, c = 7.0350 Å
α = 90.00°, β = 90.00°, γ = 90.00°
Closest atoms and distances in Å follow each position.
Element x y z (fractional)
K: 0.0000 0.0000 0.0000  4 Te 3.37
Hg: 0.5000 0.0000 0.5000  4 Te 2.96
Te: 0.2762 0.2762 0.2762  1 Pd 2.73, 3 Hg 2.96
Te: 0.2762 0.7238 0.7238  1 Pd 2.73, 3 Hg 2.96
Pd: 0.5000 0.5000 0.5000  4 Te 2.73
Hg: 0.5000 0.5000 0.0000  4 Te 2.96
Hg: 0.0000 0.5000 0.5000  4 Te 2.96
Te: 0.7238 0.7238 0.2762  1 Pd 2.73, 3 Hg 2.96
Te: 0.7238 0.2762 0.7238  1 Pd 2.73, 3 Hg 2.96

Values from the calculation:
The value obtained for the total DFT energy (no corrections) is -2.339 eV/atom.

***

KPrHg | PBE-GGA | relaxed

a = 5.4059 Å, b = 5.4059 Å, c = 5.4059 Å
α = 60.00°, β = 60.00°, γ = 60.00°
Closest atoms and distances in Å follow each position.
Element x y z (fractional)
Hg: 0.2500 0.2500 0.2500  4 Pr 3.31
Pr: 0.0000 0.0000 0.0000  4 K 3.31, 4 Hg 3.31
K: 0.7500 0.7500 0.7500  4 Pr 3.31

Values from the calculation:
The calculation puts the total moment at 0.23 μB per atom. As for the energy above the most stable polymorph in this dataset: 0.000 eV/atom.

***

KPrHgS3 | PBE-GGA | relaxed

a = 8.1787 Å, b = 4.2335 Å, c = 10.4444 Å
α = 90.00°, β = 105.61°, γ = 90.00°
Closest atoms and distances in Å follow each position.
Element x y z (fractional)
Pr: 0.8068 0.7500 0.8707  5 S 2.78-2.90
Pr: 0.1932 0.2500 0.1293  5 S 2.78-2.90
S: 0.9618 0.7500 0.1422  3 Pr 2.78-2.87
K: 0.7606 0.2500 0.2792  6 S 3.24-3.61
Hg: 0.5977 0.2500 0.6143  3 S 2.52-2.59
K: 0.2394 0.7500 0.7208  6 S 3.24-3.61
S: 0.5583 0.2500 0.8452  1 Hg 2.52
S: 0.7443 0.7500 0.5549  3 Hg 2.59-2.88
S: 0.2557 0.2500 0.4451  3 Hg 2.59-2.88
S: 0.4417 0.7500 0.1548  1 Hg 2.52
S: 0.0382 0.2500 0.8578  3 Pr 2.78-2.87
Hg: 0.4023 0.7500 0.3857  3 S 2.52-2.59

Values from the calculation:
The calculation puts the total moment at 0.00 μB per atom. The value obtained for the total DFT energy (no corrections) is -4.298 eV/atom.

***

KPrHgS3 | PBE-GGA | relaxed

a = 9.2066 Å, b = 9.2066 Å, c = 8.9482 Å
α = 103.84°, β = 103.84°, γ = 26.38°
Closest atoms and distances in Å follow each position.
Element x y z (fractional)
Pr: 0.1704 0.1704 0.0863  6 S 2.82-2.96
Hg: 0.4835 0.4835 0.7740  2 S 2.54-2.64
Hg: 0.5165 0.5165 0.2260  2 S 2.54-2.64
S: 0.6682 0.6682 0.3004  1 Hg 2.64, 2 Pr 2.85
S: 0.5000 0.5000 0.5000  2 Hg 2.54
S: 0.6680 0.6680 0.8672  3 Pr 2.82-2.87
K: 0.8607 0.8607 0.4285  7 S 3.21-3.36
S: 0.0000 0.0000 0.0000  4 Hg 2.88, 2 Pr 2.96
S: 0.3318 0.3318 0.6996  1 Hg 2.64, 2 Pr 2.85
K: 0.1393 0.1393 0.5715  7 S 3.21-3.36
Pr: 0.8296 0.8296 0.9137  6 S 2.82-2.96
S: 0.3320 0.3320 0.1328  3 Pr 2.82-2.87

Values from the calculation:
The calculation puts the total moment at 0.00 μB per atom. The value obtained for the total DFT energy (no corrections) is -4.255 eV/atom.

***

KHg3PtS4 | PBE-GGA | relaxed

a = 6.3892 Å, b = 6.3892 Å, c = 6.3892 Å
α = 90.00°, β = 90.00°, γ = 90.00°
Closest atoms and distances in Å follow each position.
Element x y z (fractional)
Hg: 0.5000 0.5000 0.0000  4 S 2.69
S: 0.2745 0.2745 0.2745  1 Pt 2.50, 3 Hg 2.69
Hg: 0.0000 0.5000 0.5000  4 S 2.69
Hg: 0.5000 0.0000 0.5000  4 S 2.69
Pt: 0.5000 0.5000 0.5000  4 S 2.50
S: 0.2745 0.7255 0.7255  1 Pt 2.50, 3 Hg 2.69
S: 0.7255 0.2745 0.7255  1 Pt 2.50, 3 Hg 2.69
K: 0.0000 0.0000 0.0000  4 S 3.04
S: 0.7255 0.7255 0.2745  1 Pt 2.50, 3 Hg 2.69

Values from the calculation:
The calculation puts the total moment at 0.14 μB per atom. The value obtained for the total DFT energy (no corrections) is -2.733 eV/atom.

***

KHg3Te4Pt | PBE-GGA | relaxed

a = 7.2126 Å, b = 7.2126 Å, c = 7.2126 Å
α = 90.00°, β = 90.00°, γ = 90.00°
Closest atoms and distances in Å follow each position.
Element x y z (fractional)
Te: 0.2877 0.2877 0.2877  1 Pt 2.65
Te: 0.7123 0.2877 0.7123  1 Pt 2.65
Te: 0.2877 0.7123 0.7123  1 Pt 2.65
Hg: 0.0000 0.5000 0.5000  4 Te 3.00
Hg: 0.5000 0.0000 0.5000  4 Te 3.00
Hg: 0.5000 0.5000 0.0000  4 Te 3.00
K: 0.0000 0.0000 0.0000  4 Te 3.59
Te: 0.7123 0.7123 0.2877  1 Pt 2.65
Pt: 0.5000 0.5000 0.5000  4 Te 2.65

Values from the calculation:
The calculation puts the total moment at 0.15 μB per atom. The value obtained for the total DFT energy (no corrections) is -2.375 eV/atom.

***

KRbHg4 | PBE-GGA | relaxed

a = 6.8792 Å, b = 6.8792 Å, c = 6.8792 Å
α = 133.60°, β = 104.72°, γ = 93.23°
Closest atoms and distances in Å follow each position.
Element x y z (fractional)
K: 0.4497 0.4497 0.0000  12 Hg 3.73-3.99
Rb: 0.0535 0.5535 0.5000  12 Hg 3.72-4.02
Hg: 0.8518 0.1624 0.6894  4 Hg 3.17-3.24
Hg: 0.0280 0.8360 0.1920  4 Hg 3.17-3.24
Hg: 0.6439 0.8360 0.8080  4 Hg 3.17-3.24
Hg: 0.4731 0.1624 0.3106  4 Hg 3.17-3.24

Values from the calculation:
The value obtained for the total DFT energy (no corrections) is -0.815 eV/atom.

***

K2RbHg2 | PBE-GGA | relaxed

a = 8.5666 Å, b = 8.5666 Å, c = 8.5666 Å
α = 141.87°, β = 141.87°, γ = 55.02°
Closest atoms and distances in Å follow each position.
Element x y z (fractional)
Hg: 0.5974 0.5974 0.0000  1 Hg 2.96
Rb: 0.0000 0.0000 0.0000  8 Hg 4.22, 8 K 4.72
K: 0.2500 0.7500 0.5000  4 Hg 3.63, 4 K 3.96
K: 0.7500 0.2500 0.5000  4 Hg 3.63, 4 K 3.96
Hg: 0.4026 0.4026 0.0000  1 Hg 2.96

Values from the calculation:
The value obtained for the total DFT energy (no corrections) is -0.909 eV/atom.